Computed, not measured: a relaxed structure of Cr3Tc at the PBEsol level of DFT.

final energy = -41.665 eV/f.u.
V = 12.1 Å³/atom
calculated formation energy = 0.08 eV per atom
space group = Pm-3n, No. 223

```
data_Cr3Tc
_cell_length_a 4.5923
_cell_length_b 4.5923
_cell_length_c 4.5923
_cell_angle_alpha 90.00
_cell_angle_beta 90.00
_cell_angle_gamma 90.00
_space_group_name_H-M_alt 'P 1'
_space_group_IT_number 1
loop_
_space_group_symop_operation_xyz
'x,y,z'
loop_
_atom_site_label
_atom_site_fract_x
_atom_site_fract_y
_atom_site_fract_z
Cr1 0.0000 0.2500 0.5000
Cr2 0.0000 0.7500 0.5000
Cr3 0.2500 0.5000 0.0000
Cr4 0.5000 0.0000 0.2500
Cr5 0.5000 0.0000 0.7500
Cr6 0.7500 0.5000 0.0000
Tc1 0.0000 0.0000 0.0000
Tc2 0.5000 0.5000 0.5000
```